Computed, not measured: crystalline Ga2CuNi9 at its relaxed geometry at the PBE level of DFT.

## Properties
E: -0.1968 Ha/atom
SG: P4/mmm, No. 123
Magnetic moment: 3.4 μB per formula unit
D(E_F): 11.94 states/eV/f.u.

Lattice parameters (Å, degrees): 3.5776 3.5776 10.6502 90.00 90.00 90.00
Fractional positions:
Ni1 0.0000 0.5000 0.8358
Ni2 0.5000 0.5000 0.6679
Cu1 0.0000 0.0000 0.0000
Ga1 0.0000 0.0000 0.6683
Ni3 0.5000 0.0000 0.5000
Ni4 0.0000 0.5000 0.1642
Ga2 0.0000 0.0000 0.3317
Ni5 0.0000 0.5000 0.5000
Ni6 0.5000 0.0000 0.1642
Ni7 0.5000 0.5000 0.3321
Ni8 0.5000 0.5000 0.0000
Ni9 0.5000 0.0000 0.8358